No. 1
Density functional theory data (PBE) for a relaxed Ac3NdPd8 crystal.

Crystal system: trigonal
Energy relative to the elements in eV per atom: -0.757
VASP energy in hartree per atom: -0.20739
Space-group type: R3m (160)

Cell lengths 5.642, 5.642, 9.794 Å; angles 73.26, 73.26, 60.00 degrees
Sites, in units of the cell vectors:
Ac  0.376  0.376  0.871
Ac  0.997  0.997  0.008
Ac  0.502  0.502  0.493
Nd  0.873  0.873  0.380
Pd  0.937  0.437  0.190
Pd  0.439  0.938  0.685
Pd  0.437  0.437  0.190
Pd  0.938  0.938  0.685
Pd  0.188  0.188  0.437
Pd  0.688  0.688  0.937
Pd  0.437  0.937  0.190
Pd  0.938  0.439  0.685

No. 2
Density functional theory data (PBE) for a relaxed AcNdPd2 crystal.

Energy relative to the lowest polymorph listed for this composition in kcal/mol of atoms: 2.28
Crystal system: cubic
Energy relative to the elements in eV per atom: -0.700
VASP energy in hartree per atom: -0.20267
Space-group type: Fm-3m (225)

Cell lengths 5.260, 5.260, 5.260 Å; angles 60.00, 60.00, 60.00 degrees
Sites, in units of the cell vectors:
Ac  0.000  0.000  0.000
Nd  0.500  0.500  0.500
Pd  0.250  0.250  0.250
Pd  0.750  0.750  0.750

No. 3
Density functional theory data (PBE) for a relaxed AcNdPd2 crystal.

Energy relative to the lowest polymorph listed for this composition in kcal/mol of atoms: 2.02
Crystal system: tetragonal
Energy relative to the elements in eV per atom: -0.711
VASP energy in hartree per atom: -0.20308
Space-group type: P4/mmm (123)

Cell lengths 3.738, 3.738, 7.334 Å; angles 90.00, 90.00, 90.00 degrees
Sites, in units of the cell vectors:
Ac  0.500  0.500  0.500
Nd  0.500  0.500  0.000
Pd  0.000  0.000  0.771
Pd  0.000  0.000  0.229